VASP calculation (GGA+U) on NdAgMoO5 after structural relaxation.

Unit cell a=6.441 b=6.441 c=8.772 alpha=109.85 beta=109.85 gamma=91.85
Element x y z (fractional)
Nd: 0.000 0.000 0.500
Nd: 0.000 0.000 0.000
Ag: 0.300 0.700 0.250
Ag: 0.700 0.300 0.750
Mo: 0.634 0.366 0.250
Mo: 0.366 0.634 0.750
O: 0.072 0.928 0.250
O: 0.928 0.072 0.750
O: 0.752 0.256 0.087
O: 0.248 0.744 0.913
O: 0.744 0.248 0.413
O: 0.256 0.752 0.587
O: 0.709 0.668 0.348
O: 0.291 0.332 0.652
O: 0.332 0.291 0.152
O: 0.668 0.709 0.848

Output
The total energy comes out at -6.791 eV/atom.